Record 1
This record from Alexandria describes a PBEsol-optimized structure of DyYZn2. The functional is meta-GGA SCAN.

Cell lengths 4.9636, 4.9636, 4.9636 Å; angles 60.00, 60.00, 60.00 degrees
With the nearest neighbours (Å) after each atom.
Element x y z (fractional)
Y 0.0000 0.0000 0.0000  8 Zn 3.04
Zn 0.2500 0.2500 0.2500  4 Dy 3.04, 4 Y 3.04
Zn 0.7500 0.7500 0.7500  4 Dy 3.04, 4 Y 3.04
Dy 0.5000 0.5000 0.5000  8 Zn 3.04

Calculated values
**Density**: 7.34 g/cm³
**Total moment**: 0.000 μB/f.u.
**ΔH_f (0 K)**: -0.44 eV/atom

---

Record 2
This record from Alexandria describes a PBEsol-optimized structure of BaMn2Cr. The functional is meta-GGA SCAN.

Cell lengths 3.1316, 3.1373, 7.3455 Å; angles 90.00, 90.00, 90.00 degrees
With the nearest neighbours (Å) after each atom.
Element x y z (fractional)
Ba 0.5000 0.0000 0.4934  4 Ba 3.13-3.14, 4 Mn 3.42
Cr 0.0000 0.5000 0.8685  1 Mn 1.99
Mn 0.5000 0.0000 0.9993  4 Cr 2.42, 4 Mn 2.44
Mn 0.0000 0.5000 0.1388  1 Cr 1.99

Calculated values
**Density**: 6.88 g/cm³
**Total moment**: 1.897 μB/f.u.
**ΔH_f (0 K)**: 0.74 eV/atom

---

Record 3
This record from Alexandria describes a PBEsol-optimized structure of HgBCl2. The functional is meta-GGA SCAN.

Cell lengths 4.7885, 4.7885, 4.7885 Å; angles 60.00, 60.00, 60.00 degrees
With the nearest neighbours (Å) after each atom.
Element x y z (fractional)
B 0.0000 0.0000 0.0000  8 Cl 2.93
Hg 0.5000 0.5000 0.5000  8 Cl 2.93
Cl 0.2500 0.2500 0.2500  4 Hg 2.93, 4 B 2.93
Cl 0.7500 0.7500 0.7500  4 Hg 2.93, 4 B 2.93

Calculated values
**ΔE_f (raw)**: 863 meV per atom
**Density**: 6.04 g/cm³
**Total moment**: 0.000 μB/f.u.

---

Record 4
This record from Alexandria describes a PBEsol-optimized structure of MgRh2Pb. The functional is meta-GGA SCAN.

Cell lengths 4.5056, 4.5056, 4.5056 Å; angles 60.00, 60.00, 60.00 degrees
With the nearest neighbours (Å) after each atom.
Element x y z (fractional)
Pb 0.5000 0.5000 0.5000  8 Rh 2.76
Mg 0.0000 0.0000 0.0000  8 Rh 2.76
Rh 0.2500 0.2500 0.2500  4 Pb 2.76, 4 Mg 2.76
Rh 0.7500 0.7500 0.7500  4 Mg 2.76, 4 Pb 2.76

Calculated values
**Density**: 11.23 g/cm³
**Total moment**: 0.001 μB/f.u.
**ΔH_f (0 K)**: -0.34 eV/atom

---

Record 5
This record from Alexandria describes a PBEsol-optimized structure of NbGe2PBr. The functional is meta-GGA SCAN.

Cell lengths 4.8074, 5.1012, 5.1012 Å; angles 90.00, 90.00, 90.00 degrees
With the nearest neighbours (Å) after each atom.
Element x y z (fractional)
P 0.5000 0.5000 0.5000  8 Ge 3.50, 4 Br 3.61
Nb 0.0000 0.0000 0.0000  2 Br 2.40, 4 Ge 2.55
Ge 0.0000 0.0000 0.5000  2 Nb 2.55
Ge 0.0000 0.5000 0.0000  2 Nb 2.55
Br 0.5000 0.0000 0.0000  2 Nb 2.40

Calculated values
**ΔE_f (raw)**: 849 meV per atom
**Density**: 4.63 g/cm³
**Total moment**: 2.215 μB/f.u.

---

Record 6
This record from Alexandria describes a PBEsol-optimized structure of K2CdAg. The functional is meta-GGA SCAN.

Cell lengths 3.8082, 3.8082, 9.8116 Å; angles 90.00, 90.00, 90.00 degrees
With the nearest neighbours (Å) after each atom.
Element x y z (fractional)
K 0.0000 0.0000 0.9218  1 Ag 3.35, 4 Cd 3.66
K 0.5000 0.5000 0.3290  1 Cd 3.34, 4 Ag 3.65
Ag 0.0000 0.0000 0.5799  4 Cd 2.83
Cd 0.5000 0.5000 0.6693  4 Ag 2.83

Calculated values
**Density**: 3.48 g/cm³
**Excess energy over the best structure of this formula in the dataset**: 0.061 eV/atom
**Total moment**: 0.046 μB/f.u.
**ΔH_f (0 K)**: 0.03 eV/atom

---

Record 7
This record from Alexandria describes a PBEsol-optimized structure of MgGa2Pb. The functional is meta-GGA SCAN.

Cell lengths 5.0196, 5.0196, 5.0196 Å; angles 60.00, 60.00, 60.00 degrees
With the nearest neighbours (Å) after each atom.
Element x y z (fractional)
Pb 0.5000 0.5000 0.5000  8 Ga 3.07
Mg 0.0000 0.0000 0.0000  8 Ga 3.07
Ga 0.2500 0.2500 0.2500  4 Pb 3.07, 4 Mg 3.07
Ga 0.7500 0.7500 0.7500  4 Pb 3.07, 4 Mg 3.07

Calculated values
**Density**: 6.89 g/cm³
**Total moment**: 0.000 μB/f.u.
**ΔH_f (0 K)**: 0.09 eV/atom

---

Record 8
This record from Alexandria describes a PBEsol-optimized structure of AlSe3Cl. The functional is meta-GGA SCAN.

Cell lengths 4.8950, 4.8950, 4.8950 Å; angles 90.00, 90.00, 90.00 degrees
With the nearest neighbours (Å) after each atom.
Element x y z (fractional)
Al 0.5000 0.5000 0.5000  12 Se 3.46
Se 0.0000 0.5000 0.0000  2 Cl 2.45
Se 0.0000 0.0000 0.5000  2 Cl 2.45
Se 0.5000 0.0000 0.0000  2 Cl 2.45
Cl 0.0000 0.0000 0.0000  6 Se 2.45

Calculated values
**ΔE_f (raw)**: 852 meV per atom
**Density**: 4.24 g/cm³
**Total moment**: 0.000 μB/f.u.

---

Q: Number 3 is which compound?
A: HgBCl2